PBE-GGA AsPBr2, relaxed; ΔE to the lowest computed polymorph = 876 meV per atom; E = -2.639 eV per atom; total magnetic moment = 0.0 μB per formula unit; V = 90.8 Å³/f.u.; formation energy (no corrections) = 0.71 eV/atom
1.0
8.944 0.031 0.018
8.260 3.431 0.018
8.260 1.662 3.001
Br As P
2 1 1
Cartesian
13.052 2.626 1.557
25.144 5.059 3.000
19.098 3.843 2.278
6.366 1.281 0.759

***

PBE-GGA LiWSe2N, relaxed; ΔE to the lowest computed polymorph = 1370 meV per atom; E = -4.806 eV per atom; total magnetic moment = 0.3 μB per formula unit; V = 74.1 Å³/f.u.; formation energy (no corrections) = 1.23 eV/atom
1.0
4.666 0.000 0.000
0.000 4.666 0.000
0.000 0.000 3.402
Se Li N W
2 1 1 1
Cartesian
2.333 0.000 0.000
0.000 2.333 0.000
0.000 0.000 0.000
0.000 0.000 1.701
2.333 2.333 1.701

***

PBE-GGA Tl2CdPt9, relaxed; energy of formation from the pure elements = -0.08 eV per atom; E = -5.082 eV per atom; total magnetic moment = 0.0 μB per formula unit; V = 203.4 Å³/f.u.
1.0
-2.879 -2.596 -1.253
2.596 -1.566 -2.722
3.768 -8.185 8.301
Tl Pt Cd
2 9 1
Cartesian
2.520 -5.474 5.552
1.248 -2.711 2.750
1.912 -2.117 -0.008
-0.825 -2.632 0.727
3.182 -4.875 2.790
1.714 -8.149 6.322
-0.142 -2.081 -1.987
1.109 -4.798 0.768
0.444 -5.391 3.524
2.376 -7.549 3.558
4.452 -7.634 5.587
0.000 0.000 0.000

***

PBE-GGA CsMgTeI2, relaxed; ΔE to the lowest computed polymorph = 1157 meV per atom; E = -1.453 eV per atom; total magnetic moment = 1.0 μB per formula unit; V = 304.1 Å³/f.u.; formation energy (no corrections) = 0.28 eV/atom
1.0
-1.995 5.907 3.013
-0.124 -3.179 6.150
6.072 1.573 0.936
Mg I Cs Te
1 2 1 1
Cartesian
1.976 2.151 5.050
-0.062 -1.590 3.075
-0.998 2.953 1.507
0.000 0.000 0.000
3.036 0.787 0.468

***

PBE-GGA TbHgC, relaxed; energy of formation from the pure elements = -0.15 eV per atom; ΔE to the lowest computed polymorph = 178 meV per atom; E = -4.873 eV per atom; total magnetic moment = 0.0 μB per formula unit; V = 65.3 Å³/f.u.
1.0
3.905 -0.054 -0.001
0.180 5.461 -0.077
0.867 1.223 6.103
C Tb Hg
2 2 2
Cartesian
0.584 2.522 0.348
4.368 4.108 5.677
2.440 1.734 1.494
2.512 4.896 4.531
4.229 2.034 4.085
0.723 4.595 1.940

***

PBE-GGA TiSbP2O, relaxed; ΔE to the lowest computed polymorph = 0 meV per atom; E = -6.125 eV per atom; total magnetic moment = 0.0 μB per formula unit; V = 91.5 Å³/f.u.; formation energy (no corrections) = -0.57 eV/atom
1.0
-1.463 4.752 0.271
-1.398 -0.700 4.727
3.371 0.973 1.141
P O Sb Ti
2 1 1 1
Cartesian
-0.699 -0.350 2.364
-0.731 2.376 0.136
1.686 0.486 0.570
0.255 2.512 3.070
0.000 0.000 0.000